# 1
Material: CePbAu2
Method: DFT, PBE
State: relaxed

a b c (Å): 5.1316 5.1321 5.1324
angles (deg): 60.00 60.01 60.00
Closest atoms and distances in Å follow each position.
Fractional coordinates of all 4 atoms:
Pb 0.7500 0.7500 0.7500  8 Au 3.14
Ce 0.2500 0.2500 0.2500  8 Au 3.14
Au 0.0000 0.0000 0.0000  4 Pb 3.14, 4 Ce 3.14
Au 0.5000 0.5000 0.5000  4 Pb 3.14, 4 Ce 3.14

Final energy = -18.4 eV per formula unit
Crystal system = cubic



# 2
Material: BaSiTc2
Method: DFT, PBE
State: relaxed

a b c (Å): 4.3130 4.3130 6.5221
angles (deg): 70.68 70.68 60.00
Closest atoms and distances in Å follow each position.
Fractional coordinates of all 4 atoms:
Ba 0.5003 0.5003 0.4990  4 Si 3.36-3.65, 4 Tc 3.40-3.62
Tc 0.9972 0.9972 0.0086  3 Si 2.51, 3 Tc 2.53
Tc 0.6882 0.6882 0.9353  3 Tc 2.53, 3 Si 2.60
Si 0.3143 0.3143 0.0571  6 Tc 2.51-2.60

Final energy = -28.4 eV per formula unit
Crystal system = trigonal



# 3
Material: GaIrSe3
Method: DFT, PBE
State: relaxed

a b c (Å): 4.9713 4.9713 4.9713
angles (deg): 90.00 90.00 90.00
Closest atoms and distances in Å follow each position.
Fractional coordinates of all 5 atoms:
Se 0.5000 0.0000 0.0000  2 Ir 2.49
Se 0.0000 0.5000 0.0000  2 Ir 2.49
Se 0.0000 0.0000 0.5000  2 Ir 2.49
Ir 0.0000 0.0000 0.0000  6 Se 2.49
Ga 0.5000 0.5000 0.5000  12 Se 3.52

Offset from the most stable computed form = 0.781 eV per atom
Crystal system = cubic



# 4
Material: Si2NiAu
Method: DFT, PBE
State: relaxed

a b c (Å): 2.7919 2.7919 7.3536
angles (deg): 90.00 90.00 90.00
Closest atoms and distances in Å follow each position.
Fractional coordinates of all 4 atoms:
Si 0.0000 0.0000 0.9694  4 Ni 2.37
Si 0.5000 0.5000 0.2229  8 Si 2.72-2.79, 4 Au 2.92
Au 0.0000 0.0000 0.5164  4 Au 2.79, 4 Ni 2.83, 4 Si 2.92
Ni 0.5000 0.5000 0.7913  4 Si 2.37

Final energy = -19.6 eV per formula unit
Crystal system = tetragonal



# 5
Material: Y2InMo2
Method: DFT, PBE
State: relaxed

a b c (Å): 7.2773 7.2773 4.4307
angles (deg): 90.00 90.00 90.00
Closest atoms and distances in Å follow each position.
Fractional coordinates of all 10 atoms:
Y 0.1782 0.6782 0.5000  6 Mo 3.10
Y 0.3218 0.1782 0.5000  6 Mo 3.10
Y 0.8218 0.3218 0.5000  6 Mo 3.10
Mo 0.6118 0.1118 0.0000  1 Mo 2.30
Mo 0.3882 0.8882 0.0000  1 Mo 2.30
Mo 0.8882 0.6118 0.0000  1 Mo 2.30
In 0.5000 0.5000 0.0000  4 Mo 2.94
Mo 0.1118 0.3882 0.0000  1 Mo 2.30
In 0.0000 0.0000 0.0000  4 Mo 2.94
Y 0.6782 0.8218 0.5000  6 Mo 3.10

Final energy = -37.0 eV per formula unit
Crystal system = tetragonal



# 6
Material: KNbW3
Method: DFT, PBE
State: relaxed

a b c (Å): 4.9301 4.9301 4.9301
angles (deg): 90.00 90.00 90.00
Closest atoms and distances in Å follow each position.
Fractional coordinates of all 5 atoms:
W 0.5000 0.0000 0.0000  2 Nb 2.47
W 0.0000 0.0000 0.5000  2 Nb 2.47
K 0.5000 0.5000 0.5000  12 W 3.49
W 0.0000 0.5000 0.0000  2 Nb 2.47
Nb 0.0000 0.0000 0.0000  6 W 2.47

Offset from the most stable computed form = 0.000 eV per atom
Crystal system = cubic



# 7
Material: Pa2TaCoN5
Method: DFT, PBE
State: relaxed

a b c (Å): 3.2435 6.7296 10.1353
angles (deg): 90.00 90.00 103.95
Closest atoms and distances in Å follow each position.
Fractional coordinates of all 18 atoms:
N 0.2845 0.5690 0.6568  2 Ta 2.24, 3 Pa 2.33-2.44
Ta 0.1936 0.3872 0.0072  6 N 2.01-2.24
Co 0.5281 0.0561 0.9598  3 N 1.94-2.01
N 0.5095 0.0190 0.2749  1 Co 1.94
Pa 0.1068 0.2137 0.6789  6 N 2.29-2.48
N 0.7155 0.4310 0.1568  2 Ta 2.24, 3 Pa 2.33-2.44
N 0.6869 0.3737 0.8668  2 Ta 2.16, 1 Co 2.28, 1 Pa 2.37
Pa 0.8932 0.7863 0.1789  6 N 2.29-2.48
Pa 0.1379 0.2759 0.3071  7 N 2.36-2.54
Pa 0.8621 0.7241 0.8071  7 N 2.36-2.54
N 0.6411 0.2823 0.4994  1 Ta 2.16, 1 Co 2.25
N 0.3131 0.6263 0.3668  2 Ta 2.16, 1 Co 2.28, 1 Pa 2.37
Co 0.4719 0.9439 0.4598  3 N 1.94-2.01
N 0.9515 0.9031 0.5732  2 Co 2.01, 1 Ta 2.01
N 0.0485 0.0969 0.0732  2 Co 2.01, 1 Ta 2.01
N 0.3589 0.7177 0.9994  1 Ta 2.16, 1 Co 2.25
Ta 0.8064 0.6128 0.5072  6 N 2.01-2.24
N 0.4905 0.9810 0.7749  1 Co 1.94

Final energy = -89.9 eV per formula unit
Crystal system = orthorhombic



# 8
Material: In2CuAsSe2
Method: DFT, PBE
State: relaxed

a b c (Å): 4.2576 9.3837 4.2576
angles (deg): 103.11 90.00 103.11
Closest atoms and distances in Å follow each position.
Fractional coordinates of all 6 atoms:
As 0.7500 0.5000 0.2500  4 In 2.65
Cu 0.0000 0.0000 0.0000  4 Se 2.46
Se 0.4301 0.8602 0.9301  2 Cu 2.46, 2 In 2.67
In 0.3390 0.6780 0.3390  2 As 2.65, 2 Se 2.67
In 0.6610 0.3220 0.6610  2 As 2.65, 2 Se 2.67
Se 0.0699 0.1398 0.5699  2 Cu 2.46, 2 In 2.67

Final energy = -23.4 eV per formula unit
Crystal system = tetragonal